GdCu4Si: relaxed, PBE.

```
GdCu4Si
1.0
-3.254 3.739 -0.936
-1.957 0.543 -4.617
-4.868 -1.038 -0.813
Si Gd Cu
1 1 4
Cartesian
-2.520 0.811 -1.592
0.000 0.000 0.000
-3.872 2.541 -3.570
-5.319 1.755 -1.679
-6.292 2.025 -3.974
-4.675 0.166 -3.509
```

Computed properties:
Electronic total energy: -6.098 eV/atom
Fermi-level density of states: 4.12 states/eV/cell
Formation energy without anion corrections: -11.3 kJ/mol of atoms